Entry 1:
Material: HoZr2Sc
Method: DFT, PBE
State: optimized geometry Values from VASP.

```
&SYSTEM
  ibrav = 0, nat = 4, ntyp = 3
/
ATOMIC_SPECIES
Sc 44.96 Sc.upf
Ho 164.93 Ho.upf
Zr 91.22 Zr.upf
CELL_PARAMETERS angstrom
3.261 0.000 0.000
1.631 2.824 0.000
1.631 0.941 10.792
ATOMIC_POSITIONS crystal
Sc 0.000 0.000 0.000
Ho 0.500 0.500 0.500
Zr 0.748 0.748 0.756
Zr 0.252 0.252 0.244
```

The value obtained for the total magnetic moment is 0.00 μB per cell. The calculation puts the formation energy at 83 meV/atom. The calculation puts the density of states at the Fermi level at 5.9 states/eV per cell. Its polymorph energy (0 for the lowest one) is 0.027 eV per atom. Its space group is R-3m, No. 166. The calculation puts the total energy at -6.919 eV/atom.



Entry 2:
Material: Ho2ZrSc2
Method: DFT, PBE
State: optimized geometry Values from VASP.

```
&SYSTEM
  ibrav = 0, nat = 20, ntyp = 3
/
ATOMIC_SPECIES
Ho 164.93 Ho.upf
Sc 44.96 Sc.upf
Zr 91.22 Zr.upf
CELL_PARAMETERS angstrom
6.203 0.000 -1.453
0.000 10.224 0.000
-2.031 0.000 8.963
ATOMIC_POSITIONS crystal
Ho 0.907 0.701 0.237
Ho 0.362 0.634 0.901
Ho 0.593 0.201 0.763
Ho 0.138 0.134 0.099
Ho 0.407 0.799 0.237
Ho 0.862 0.866 0.901
Ho 0.638 0.366 0.099
Ho 0.093 0.299 0.763
Sc 0.302 0.957 0.827
Sc 0.715 0.518 0.449
Sc 0.698 0.043 0.173
Sc 0.215 0.982 0.449
Sc 0.802 0.543 0.827
Sc 0.285 0.482 0.551
Sc 0.198 0.457 0.173
Sc 0.785 0.018 0.551
Zr 0.531 0.256 0.409
Zr 0.031 0.244 0.409
Zr 0.969 0.756 0.591
Zr 0.469 0.744 0.591
```

The value obtained for the total magnetic moment is 0.00 μB per cell. The calculation puts the formation energy at 82 meV/atom. The calculation puts the density of states at the Fermi level at 24.2 states/eV per cell. Its polymorph energy (0 for the lowest one) is 0.000 eV per atom. Its space group is P2_1/c, No. 14. The calculation puts the total energy at -5.991 eV/atom.